(1)
Density functional theory data (GGA-PBE) for Rb3PrY2S6 after structural relaxation.

As for the raw formation energy: -1.842 eV per atom. For the spin magnetization, the calculation gives 0.00 μB/cell. The calculation puts the density of states at the Fermi level at 0.000 states/eV per atom. The calculation puts the energy at -0.413 Ry per atom.

It has space group C2/m (No. 12), with a = 7.176 Å, b = 12.429 Å, c = 8.069 Å, α = 90.00°, β = 107.25° and γ = 90.00°. The inequivalent atoms are Rb at (0.000, 0.000, 0.000), Rb at (0.000, 0.335, 0.000), Pr at (0.000, 0.500, 0.500), Y at (0.000, 0.167, 0.500), S at (0.222, 0.000, 0.694) and S at (0.236, 0.329, 0.694).

***

(2)
Density functional theory data (GGA-PBE) for Rb4Pr3YS8 after structural relaxation.

As for the raw formation energy: -1.823 eV per atom. For the spin magnetization, the calculation gives 0.00 μB/cell. The calculation puts the density of states at the Fermi level at 0.000 states/eV per atom. The calculation puts the energy at -0.399 Ry per atom.

It has space group R-3m (No. 166, hexagonal axes), with a = 8.4308 Å, b = 8.4308 Å, c = 23.1668 Å, α = 90.00°, β = 90.00° and γ = 120.00°. The inequivalent atoms are Rb at (0.0000, 0.0000, 0.0000), Rb at (0.0000, 0.5000, 0.0000), Pr at (0.0000, 0.5000, 0.5000), Y at (0.0000, 0.0000, 0.5000), S at (0.0000, 0.0000, 0.2332) and S at (0.0086, 0.5043, 0.2320).

***

(3)
Density functional theory data (GGA-PBE) for RbPrZnS3 after structural relaxation.

As for the raw formation energy: -1.448 eV per atom. For the spin magnetization, the calculation gives 0.00 μB/cell. The calculation puts the density of states at the Fermi level at 0.000 states/eV per atom. The calculation puts the energy at -0.344 Ry per atom.

It has space group P2_1/m (No. 11), with a = 9.257 Å, b = 4.139 Å, c = 9.718 Å, α = 90.00°, β = 106.79° and γ = 90.00°. The inequivalent atoms are Rb at (0.198, 0.250, 0.229), Pr at (0.334, 0.750, 0.852), Zn at (0.082, 0.250, 0.608), S at (0.118, 0.250, 0.852), S at (0.180, 0.750, 0.531) and S at (0.457, 0.750, 0.153).

***

(4)
Density functional theory data (GGA-PBE) for Rb2PrZn2S4 after structural relaxation.

As for the raw formation energy: -1.129 eV per atom. For the spin magnetization, the calculation gives 0.00 μB/cell. The calculation puts the density of states at the Fermi level at 0.434 states/eV per atom. The calculation puts the energy at -0.293 Ry per atom.

It has space group C2/m (No. 12), with a = 15.608 Å, b = 4.173 Å, c = 7.969 Å, α = 90.00°, β = 110.40° and γ = 90.00°. The inequivalent atoms are Rb at (0.130, 0.000, 0.053), Pr at (0.000, 0.000, 0.500), Zn at (0.176, 0.500, 0.487), S at (0.028, 0.500, 0.270) and S at (0.202, 0.000, 0.658).

***

(5)
Density functional theory data (GGA-PBE) for Rb3Pr2ZrS6 after structural relaxation.

As for the raw formation energy: -1.662 eV per atom. For the spin magnetization, the calculation gives 0.00 μB/cell. The calculation puts the density of states at the Fermi level at 0.382 states/eV per atom. The calculation puts the energy at -0.402 Ry per atom.

It has space group C2/m (No. 12), with a = 7.099 Å, b = 12.296 Å, c = 8.090 Å, α = 90.00°, β = 107.08° and γ = 90.00°. The inequivalent atoms are Rb at (0.000, 0.000, 0.000), Rb at (0.000, 0.330, 0.000), Pr at (0.000, 0.166, 0.500), Zr at (0.000, 0.500, 0.500), S at (0.220, 0.345, 0.696) and S at (0.243, 0.500, 0.303).

***

(6)
Density functional theory data (GGA-PBE) for Rb2PrZrS4 after structural relaxation.

As for the raw formation energy: -1.592 eV per atom. For the spin magnetization, the calculation gives 0.00 μB/cell. The calculation puts the density of states at the Fermi level at 0.416 states/eV per atom. The calculation puts the energy at -0.409 Ry per atom.

It has space group P2/m (No. 10), with a = 7.008 Å, b = 4.001 Å, c = 8.067 Å, α = 90.00°, β = 106.39° and γ = 90.00°. The inequivalent atoms are Rb at (0.000, 0.000, 0.000), Rb at (0.500, 0.500, 0.000), Pr at (0.000, 0.500, 0.500), Zr at (0.500, 0.000, 0.500), S at (0.256, 0.000, 0.699) and S at (0.290, 0.500, 0.310).

***

Q: raw formation energy of number 3 (RbPrZnS3)?
A: -1.448 eV per atom